Arrangement A

Computed, not measured: crystalline AlAu2Br at its relaxed geometry at the PBE-GGA level of DFT. Values from VASP.

Quantum ESPRESSO input file:
```
&SYSTEM
  ibrav = 0, nat = 4, ntyp = 3
/
ATOMIC_SPECIES
Br 79.90 Br.upf
Al 26.98 Al.upf
Au 196.97 Au.upf
CELL_PARAMETERS angstrom
-2.8485 1.4306 -1.0005
-0.2705 -2.7968 1.8073
-0.1887 4.8084 7.4125
ATOMIC_POSITIONS crystal
Br 0.0000 0.0000 0.5526
Al 0.5000 0.5000 0.7694
Au 0.0000 0.0000 0.9668
Au 0.5000 0.5000 0.2112
```

Properties
- Spin magnetization: 0.000 μB/cell
- Symmetry: Cmm2 (35)

Arrangement B

Computed, not measured: crystalline AlAu2Br at its relaxed geometry at the PBE-GGA level of DFT. Values from VASP.

Quantum ESPRESSO input file:
```
&SYSTEM
  ibrav = 0, nat = 4, ntyp = 3
/
ATOMIC_SPECIES
Au 196.97 Au.upf
Al 26.98 Al.upf
Br 79.90 Br.upf
CELL_PARAMETERS angstrom
-0.8406 3.2367 -0.4005
-4.0371 -0.6318 3.3669
1.1403 0.9253 5.0843
ATOMIC_POSITIONS crystal
Au 0.0000 0.5375 0.5375
Au 0.0000 0.9625 0.9625
Al 0.5000 0.7500 0.7500
Br 0.5000 0.2500 0.2500
```

Properties
- Spin magnetization: 0.000 μB/cell
- Symmetry: Cmmm (65)

Arrangement C

Computed, not measured: crystalline AlAu2Br at its relaxed geometry at the PBE-GGA level of DFT. Values from VASP.

Quantum ESPRESSO input file:
```
&SYSTEM
  ibrav = 0, nat = 4, ntyp = 3
/
ATOMIC_SPECIES
Al 26.98 Al.upf
Au 196.97 Au.upf
Br 79.90 Br.upf
CELL_PARAMETERS angstrom
-3.5616 -2.8175 -1.8499
-1.3669 -4.0815 2.3490
-4.3670 -0.2049 2.2208
ATOMIC_POSITIONS crystal
Al 0.5000 0.5000 0.5000
Au 0.0000 0.0000 0.0000
Br 0.7500 0.7500 0.7500
Au 0.2500 0.2500 0.2500
```

Properties
- Spin magnetization: 0.000 μB/cell
- Symmetry: F-43m (216)

Arrangement D

Computed, not measured: crystalline AlAu2Br at its relaxed geometry at the PBE-GGA level of DFT. Values from VASP.

Quantum ESPRESSO input file:
```
&SYSTEM
  ibrav = 0, nat = 4, ntyp = 3
/
ATOMIC_SPECIES
Br 79.90 Br.upf
Al 26.98 Al.upf
Au 196.97 Au.upf
CELL_PARAMETERS angstrom
3.3944 0.0920 0.0000
-1.4607 3.0654 0.0000
0.0000 0.0000 7.8933
ATOMIC_POSITIONS crystal
Br 0.5000 0.5000 0.2500
Al 0.5000 0.5000 0.7500
Au 0.0000 0.0000 0.5321
Au 0.0000 0.0000 0.9679
```

Properties
- Spin magnetization: 0.000 μB/cell
- Symmetry: Cmmm (65)

Least stable of them? arrangement C.

Arrangement A

Computed, not measured: crystalline AlAu2Br at its relaxed geometry at the PBE-GGA level of DFT. Values from VASP.

Quantum ESPRESSO input file:
```
&SYSTEM
  ibrav = 0, nat = 4, ntyp = 3
/
ATOMIC_SPECIES
Au 196.97 Au.upf
Br 79.90 Br.upf
Al 26.98 Al.upf
CELL_PARAMETERS angstrom
5.7109 -0.0376 0.0084
1.7175 5.4467 -0.0084
-2.6167 -4.2118 2.8337
ATOMIC_POSITIONS crystal
Au 0.0338 0.0338 0.0000
Br 0.4501 0.4501 0.0000
Au 0.7761 0.2761 0.5000
Al 0.2401 0.7401 0.5000
```

Properties
- Spin magnetization: 0.000 μB/cell
- Symmetry: Imm2 (44)

Arrangement B

Computed, not measured: crystalline AlAu2Br at its relaxed geometry at the PBE-GGA level of DFT. Values from VASP.

Quantum ESPRESSO input file:
```
&SYSTEM
  ibrav = 0, nat = 8, ntyp = 3
/
ATOMIC_SPECIES
Au 196.97 Au.upf
Br 79.90 Br.upf
Al 26.98 Al.upf
CELL_PARAMETERS angstrom
-0.7196 -0.4456 6.8137
1.0276 -6.7805 -0.3349
4.3012 -3.0081 3.7170
ATOMIC_POSITIONS crystal
Au 0.3750 0.4177 0.7500
Br 0.7500 0.2500 0.5000
Au 0.1677 0.6250 0.2500
Al 0.2500 0.7500 0.5000
Au 0.8750 0.8323 0.7500
Au 0.5823 0.1250 0.2500
Al 0.5000 0.5000 0.0000
Br 0.0000 0.0000 0.0000
```

Properties
- Spin magnetization: 0.000 μB/cell
- Symmetry: I-42d (122)

Arrangement C

Computed, not measured: crystalline AlAu2Br at its relaxed geometry at the PBE-GGA level of DFT. Values from VASP.

Quantum ESPRESSO input file:
```
&SYSTEM
  ibrav = 0, nat = 4, ntyp = 3
/
ATOMIC_SPECIES
Au 196.97 Au.upf
Al 26.98 Al.upf
Br 79.90 Br.upf
CELL_PARAMETERS angstrom
-5.5393 -2.6211 -5.0550
-3.0571 -5.1084 -5.2598
-5.4103 -5.1817 -2.6431
ATOMIC_POSITIONS crystal
Au 0.0120 0.0120 0.0120
Al 0.7500 0.7500 0.7500
Br 0.2500 0.2500 0.2500
Au 0.4880 0.4880 0.4880
```

Properties
- Spin magnetization: 0.000 μB/cell
- Symmetry: R-3m (166)

Least stable of them? arrangement A.

Arrangement A

Computed, not measured: crystalline AlAu2Br at its relaxed geometry at the PBE-GGA level of DFT. Values from VASP.

Quantum ESPRESSO input file:
```
&SYSTEM
  ibrav = 0, nat = 4, ntyp = 3
/
ATOMIC_SPECIES
Au 196.97 Au.upf
Br 79.90 Br.upf
Al 26.98 Al.upf
CELL_PARAMETERS angstrom
-4.3925 3.6680 -1.1349
-2.5755 -2.8277 0.8293
-0.0287 1.1254 3.7483
ATOMIC_POSITIONS crystal
Au 0.0000 0.5000 0.5000
Br 0.5000 0.5000 0.0000
Al 0.5000 0.0000 0.5000
Au 0.0000 0.0000 0.0000
```

Properties
- Spin magnetization: 0.000 μB/cell
- Symmetry: P4/mmm (123)

Arrangement B

Computed, not measured: crystalline AlAu2Br at its relaxed geometry at the PBE-GGA level of DFT. Values from VASP.

Quantum ESPRESSO input file:
```
&SYSTEM
  ibrav = 0, nat = 4, ntyp = 3
/
ATOMIC_SPECIES
Au 196.97 Au.upf
Br 79.90 Br.upf
Al 26.98 Al.upf
CELL_PARAMETERS angstrom
-2.0081 4.1878 4.0784
-3.3094 -2.2262 -1.6390
-0.3747 -1.6856 3.1251
ATOMIC_POSITIONS crystal
Au 0.0000 0.0000 0.0000
Au 0.0000 0.5000 0.5000
Br 0.5000 0.5000 0.0000
Al 0.5000 0.0000 0.5000
```

Properties
- Spin magnetization: 0.000 μB/cell
- Symmetry: C2/m (12)

Least stable of them? arrangement A.

Arrangement A

Computed, not measured: crystalline AlAu2Br at its relaxed geometry at the PBE-GGA level of DFT. Values from VASP.

Quantum ESPRESSO input file:
```
&SYSTEM
  ibrav = 0, nat = 4, ntyp = 3
/
ATOMIC_SPECIES
Al 26.98 Al.upf
Au 196.97 Au.upf
Br 79.90 Br.upf
CELL_PARAMETERS angstrom
-1.2569 2.3661 1.4825
-0.4855 -1.7862 2.4392
7.8602 2.1902 3.1684
ATOMIC_POSITIONS crystal
Al 0.5000 0.5000 0.7500
Au 0.0000 0.0000 0.5645
Au 0.0000 0.0000 0.9355
Br 0.5000 0.5000 0.2500
```

Properties
- Spin magnetization: 0.000 μB/cell
- Symmetry: P4/mmm (123)

Arrangement B

Computed, not measured: crystalline AlAu2Br at its relaxed geometry at the PBE-GGA level of DFT. Values from VASP.

Quantum ESPRESSO input file:
```
&SYSTEM
  ibrav = 0, nat = 4, ntyp = 3
/
ATOMIC_SPECIES
Au 196.97 Au.upf
Br 79.90 Br.upf
Al 26.98 Al.upf
CELL_PARAMETERS angstrom
8.8202 -0.0030 -0.0018
8.1416 3.3927 -0.0018
8.1416 1.6271 2.9771
ATOMIC_POSITIONS crystal
Au 0.2698 0.2698 0.2698
Br 0.4760 0.4760 0.4760
Al 0.7405 0.7405 0.7405
Au 0.0137 0.0137 0.0137
```

Properties
- Spin magnetization: 0.000 μB/cell
- Symmetry: R3m (160)

Arrangement C

Computed, not measured: crystalline AlAu2Br at its relaxed geometry at the PBE-GGA level of DFT. Values from VASP.

Quantum ESPRESSO input file:
```
&SYSTEM
  ibrav = 0, nat = 4, ntyp = 3
/
ATOMIC_SPECIES
Al 26.98 Al.upf
Br 79.90 Br.upf
Au 196.97 Au.upf
CELL_PARAMETERS angstrom
4.7806 0.0000 0.0000
0.0000 4.7806 0.0000
0.0000 0.0000 3.5551
ATOMIC_POSITIONS crystal
Al 0.0000 0.5000 0.5000
Br 0.5000 0.0000 0.5000
Au 0.5000 0.5000 0.0000
Au 0.0000 0.0000 0.0000
```

Properties
- Spin magnetization: 0.000 μB/cell
- Symmetry: P4/mmm (123)

Least stable of them? arrangement C.

Arrangement A

Computed, not measured: crystalline AlAuBr at its relaxed geometry at the PBE-GGA level of DFT. Values from VASP.

Quantum ESPRESSO input file:
```
&SYSTEM
  ibrav = 0, nat = 6, ntyp = 3
/
ATOMIC_SPECIES
Br 79.90 Br.upf
Al 26.98 Al.upf
Au 196.97 Au.upf
CELL_PARAMETERS angstrom
4.3782 0.1113 0.0370
2.0677 4.9922 0.0426
2.0678 0.2153 8.5096
ATOMIC_POSITIONS crystal
Br 0.7348 0.7081 0.8292
Al 0.6797 0.0313 0.6116
Al 0.3203 0.9687 0.3884
Au 0.0484 0.2848 0.6203
Au 0.9516 0.7152 0.3797
Br 0.2652 0.2919 0.1708
```

Properties
- Spin magnetization: 0.000 μB/cell
- Symmetry: P-1 (2)

Arrangement B

Computed, not measured: crystalline AlAuBr at its relaxed geometry at the PBE-GGA level of DFT. Values from VASP.

Quantum ESPRESSO input file:
```
&SYSTEM
  ibrav = 0, nat = 3, ntyp = 3
/
ATOMIC_SPECIES
Au 196.97 Au.upf
Br 79.90 Br.upf
Al 26.98 Al.upf
CELL_PARAMETERS angstrom
-3.7163 0.3404 0.2069
1.5856 -1.3129 -3.1196
-0.3866 -5.5117 2.1230
ATOMIC_POSITIONS crystal
Au 0.6667 0.3333 0.2441
Br 0.3333 0.6667 0.7276
Al 0.0000 0.0000 0.0283
```

Properties
- Spin magnetization: 0.000 μB/cell
- Symmetry: P3m1 (156)

Least stable of them? arrangement B.